1.
# Al2IrPb (PBE, relaxed)
data_Al2IrPb
_chemical_formula_sum 'Al8 Ir4 Pb4'
_cell_length_a 6.6441
_cell_length_b 6.6441
_cell_length_c 6.6441
_cell_angle_alpha 90.00
_cell_angle_beta 90.00
_cell_angle_gamma 90.00
_space_group_name_H-M_alt 'F -4 3 m'
_space_group_IT_number 216
_space_group_name_Hall 'F -4 2 3'
loop_
_atom_site_label
_atom_site_type_symbol
_atom_site_fract_x
_atom_site_fract_y
_atom_site_fract_z
Al1 Al 0.0000 0.0000 0.0000
Al2 Al 0.2500 0.2500 0.2500
Ir1 Ir 0.2500 0.2500 0.7500
Pb1 Pb 0.0000 0.0000 0.5000
# * E_tot: -76.17 eV for the cell shown
# * theoretical density: 10.27 Mg/m³
# * total magnetic moment: 0.0 μB/cell

2.
# RbHoHgS3 (PBE, relaxed)
data_RbHoHgS3
_chemical_formula_sum 'Rb4 Ho4 Hg4 S12'
_cell_length_a 10.6967
_cell_length_b 4.1222
_cell_length_c 15.1213
_cell_angle_alpha 90.00
_cell_angle_beta 90.00
_cell_angle_gamma 90.00
_space_group_name_H-M_alt 'P n m a'
_space_group_IT_number 62
loop_
_space_group_symop_operation_xyz
'x,y,z'
'-x,-y,-z'
'-x+1/2,-y,z+1/2'
'x+1/2,y,-z+1/2'
'x+1/2,-y+1/2,-z+1/2'
'-x+1/2,y+1/2,z+1/2'
'-x,y+1/2,-z'
'x,-y+1/2,z'
loop_
_atom_site_label
_atom_site_type_symbol
_atom_site_fract_x
_atom_site_fract_y
_atom_site_fract_z
Rb1 Rb 0.2456 0.2500 0.0151
Ho1 Ho 0.0113 0.2500 0.7504
Hg1 Hg 0.2385 0.2500 0.3051
S1 S 0.0260 0.2500 0.3698
S2 S 0.0498 0.7500 0.8719
S3 S 0.2387 0.7500 0.1924
# * offset from the most stable computed form: 0.000 eV/atom
# * theoretical density: 5.45 Mg/m³
# * total magnetic moment: 0.0 μB/cell

3.
# Zr3HgC (PBE, relaxed)
data_Zr3HgC
_chemical_formula_sum 'Zr12 Hg4 C4'
_cell_length_a 3.4087
_cell_length_b 12.0428
_cell_length_c 9.2741
_cell_angle_alpha 90.00
_cell_angle_beta 90.00
_cell_angle_gamma 90.00
_space_group_name_H-M_alt 'C m c m'
_space_group_IT_number 63
_space_group_name_Hall '-C 2c 2'
loop_
_atom_site_label
_atom_site_type_symbol
_atom_site_fract_x
_atom_site_fract_y
_atom_site_fract_z
Zr1 Zr 0.0000 0.0385 0.2500
Zr2 Zr 0.0000 0.3765 0.0431
Hg1 Hg 0.0000 0.2545 0.7500
C1 C 0.0000 0.0000 0.0000
# * offset from the most stable computed form: 0.000 eV/atom
# * theoretical density: 8.48 Mg/m³
# * total magnetic moment: 0.0 μB/cell

4.
# Cu7Ag3 (PBE, relaxed)
data_Cu7Ag3
_chemical_formula_sum 'Cu7 Ag3'
_cell_length_a 2.7686
_cell_length_b 2.7686
_cell_length_c 17.8232
_cell_angle_alpha 90.00
_cell_angle_beta 90.00
_cell_angle_gamma 90.00
_space_group_name_H-M_alt 'P 4/m m m'
_space_group_IT_number 123
_space_group_name_Hall '-P 4 2'
loop_
_atom_site_label
_atom_site_type_symbol
_atom_site_fract_x
_atom_site_fract_y
_atom_site_fract_z
Cu1 Cu 0.0000 0.0000 0.0000
Cu2 Cu 0.0000 0.0000 0.3931
Cu3 Cu 0.5000 0.5000 0.0884
Cu4 Cu 0.5000 0.5000 0.3054
Ag1 Ag 0.0000 0.0000 0.1970
Ag2 Ag 0.5000 0.5000 0.5000
# * offset from the most stable computed form: 0.031 eV/atom
# * ΔE_f: 0.08 eV/atom
# * theoretical density: 9.34 Mg/m³

5.
# TbMg (PBE, relaxed)
data_TbMg
_chemical_formula_sum 'Tb8 Mg8'
_cell_length_a 5.3993
_cell_length_b 13.4806
_cell_length_c 6.0859
_cell_angle_alpha 90.00
_cell_angle_beta 90.00
_cell_angle_gamma 90.00
_space_group_name_H-M_alt 'P m m n'
_space_group_IT_number 59
loop_
_space_group_symop_operation_xyz
'x,y,z'
'-x,-y,-z'
'-x+1/2,-y+1/2,z'
'x+1/2,y+1/2,-z'
'x+1/2,-y,-z'
'-x+1/2,y,z'
'-x,y+1/2,-z'
'x,-y+1/2,z'
loop_
_atom_site_label
_atom_site_type_symbol
_atom_site_fract_x
_atom_site_fract_y
_atom_site_fract_z
Tb1 Tb 0.2500 0.0052 0.1642
Tb2 Tb 0.2500 0.1235 0.6490
Mg1 Mg 0.2500 0.2500 0.1504
Mg2 Mg 0.2500 0.6292 0.6732
Mg3 Mg 0.2500 0.7500 0.1449
# * E_tot: -48.85 eV for the cell shown
# * theoretical density: 5.49 Mg/m³
# * total magnetic moment: 0.0 μB/cell

6.
# NdZnInS3 (PBE, relaxed)
data_NdZnInS3
_chemical_formula_sum 'Nd4 Zn4 In4 S12'
_cell_length_a 11.3522
_cell_length_b 4.1779
_cell_length_c 11.9340
_cell_angle_alpha 90.00
_cell_angle_beta 90.00
_cell_angle_gamma 90.00
_space_group_name_H-M_alt 'P n m a'
_space_group_IT_number 62
loop_
_space_group_symop_operation_xyz
'x,y,z'
'-x,-y,-z'
'-x+1/2,-y,z+1/2'
'x+1/2,y,-z+1/2'
'x+1/2,-y+1/2,-z+1/2'
'-x+1/2,y+1/2,z+1/2'
'-x,y+1/2,-z'
'x,-y+1/2,z'
loop_
_atom_site_label
_atom_site_type_symbol
_atom_site_fract_x
_atom_site_fract_y
_atom_site_fract_z
Nd1 Nd 0.0205 0.2500 0.1726
Zn1 Zn 0.2493 0.7500 0.3037
In1 In 0.1621 0.2500 0.5138
S1 S 0.0469 0.7500 0.3355
S2 S 0.1050 0.2500 0.9410
S3 S 0.2203 0.7500 0.7031
# * offset from the most stable computed form: 0.000 eV/atom
# * theoretical density: 4.94 Mg/m³
# * total magnetic moment: 0.0 μB/cell

7.
# TaCuPbAu (PBE, relaxed)
data_TaCuPbAu
_chemical_formula_sum 'Ta4 Cu4 Pb4 Au4'
_cell_length_a 6.6916
_cell_length_b 6.6916
_cell_length_c 6.6916
_cell_angle_alpha 90.00
_cell_angle_beta 90.00
_cell_angle_gamma 90.00
_space_group_name_H-M_alt 'F -4 3 m'
_space_group_IT_number 216
_space_group_name_Hall 'F -4 2 3'
loop_
_atom_site_label
_atom_site_type_symbol
_atom_site_fract_x
_atom_site_fract_y
_atom_site_fract_z
Ta1 Ta 0.0000 0.0000 0.0000
Cu1 Cu 0.0000 0.0000 0.5000
Pb1 Pb 0.2500 0.2500 0.2500
Au1 Au 0.2500 0.2500 0.7500
# * offset from the most stable computed form: 0.000 eV/atom
# * theoretical density: 14.38 Mg/m³
# * total magnetic moment: 2.1 μB/cell

8.
# Cs2ScNiCl6 (PBE, relaxed)
data_Cs2ScNiCl6
_chemical_formula_sum 'Cs8 Sc4 Ni4 Cl24'
_cell_length_a 10.1255
_cell_length_b 10.1255
_cell_length_c 10.1255
_cell_angle_alpha 90.00
_cell_angle_beta 90.00
_cell_angle_gamma 90.00
_space_group_name_H-M_alt 'F m -3 m'
_space_group_IT_number 225
_space_group_name_Hall '-F 4 2 3'
loop_
_atom_site_label
_atom_site_type_symbol
_atom_site_fract_x
_atom_site_fract_y
_atom_site_fract_z
Cs1 Cs 0.2500 0.2500 0.2500
Sc1 Sc 0.0000 0.0000 0.0000
Ni1 Ni 0.0000 0.0000 0.5000
Cl1 Cl 0.0000 0.0000 0.2492
# * E_tot: -164.79 eV for the cell shown
# * theoretical density: 3.72 Mg/m³
# * total magnetic moment: 4.0 μB/cell

9.
# HfInAg3Te4 (PBE, relaxed)
data_HfInAg3Te4
_chemical_formula_sum 'Hf1 In1 Ag3 Te4'
_cell_length_a 6.7755
_cell_length_b 6.7755
_cell_length_c 6.7755
_cell_angle_alpha 90.00
_cell_angle_beta 90.00
_cell_angle_gamma 90.00
_space_group_name_H-M_alt 'P -4 3 m'
_space_group_IT_number 215
_space_group_name_Hall 'P -4 2 3'
loop_
_atom_site_label
_atom_site_type_symbol
_atom_site_fract_x
_atom_site_fract_y
_atom_site_fract_z
Hf1 Hf 0.0000 0.0000 0.0000
In1 In 0.5000 0.5000 0.5000
Ag1 Ag 0.0000 0.0000 0.5000
Te1 Te 0.2331 0.2331 0.7669
# * offset from the most stable computed form: 0.000 eV/atom
# * theoretical density: 6.02 Mg/m³
# * total magnetic moment: 0.0 μB/cell

10.
# K6ZnBi5 (PBE, relaxed)
data_K6ZnBi5
_chemical_formula_sum 'K12 Zn2 Bi10'
_cell_length_a 5.5667
_cell_length_b 15.4353
_cell_length_c 11.6661
_cell_angle_alpha 90.00
_cell_angle_beta 90.00
_cell_angle_gamma 90.00
_space_group_name_H-M_alt 'P m m n'
_space_group_IT_number 59
loop_
_space_group_symop_operation_xyz
'x,y,z'
'-x,-y,-z'
'-x+1/2,-y+1/2,z'
'x+1/2,y+1/2,-z'
'x+1/2,-y,-z'
'-x+1/2,y,z'
'-x,y+1/2,-z'
'x,-y+1/2,z'
loop_
_atom_site_label
_atom_site_type_symbol
_atom_site_fract_x
_atom_site_fract_y
_atom_site_fract_z
K1 K 0.2500 0.0186 0.1847
K2 K 0.2500 0.6171 0.5607
K3 K 0.2500 0.7500 0.2449
K4 K 0.2500 0.7500 0.8916
Zn1 Zn 0.2500 0.2500 0.5387
Bi1 Bi 0.2500 0.1018 0.6701
Bi2 Bi 0.2500 0.1506 0.9199
Bi3 Bi 0.2500 0.2500 0.3066
# * E_tot: -65.02 eV for the cell shown
# * theoretical density: 4.46 Mg/m³

11.
# ZrTlCuIr (PBE, relaxed)
data_ZrTlCuIr
_chemical_formula_sum 'Zr4 Tl4 Cu4 Ir4'
_cell_length_a 6.5778
_cell_length_b 6.5778
_cell_length_c 6.5778
_cell_angle_alpha 90.00
_cell_angle_beta 90.00
_cell_angle_gamma 90.00
_space_group_name_H-M_alt 'F -4 3 m'
_space_group_IT_number 216
_space_group_name_Hall 'F -4 2 3'
loop_
_atom_site_label
_atom_site_type_symbol
_atom_site_fract_x
_atom_site_fract_y
_atom_site_fract_z
Zr1 Zr 0.0000 0.0000 0.0000
Tl1 Tl 0.0000 0.0000 0.5000
Cu1 Cu 0.2500 0.2500 0.7500
Ir1 Ir 0.2500 0.2500 0.2500
# * offset from the most stable computed form: 0.000 eV/atom
# * theoretical density: 12.87 Mg/m³
# * total magnetic moment: 0.0 μB/cell

12.
# HfSc2Ag (PBE, relaxed)
data_HfSc2Ag
_chemical_formula_sum 'Hf4 Sc8 Ag4'
_cell_length_a 6.9691
_cell_length_b 6.9691
_cell_length_c 6.9691
_cell_angle_alpha 90.00
_cell_angle_beta 90.00
_cell_angle_gamma 90.00
_space_group_name_H-M_alt 'F -4 3 m'
_space_group_IT_number 216
_space_group_name_Hall 'F -4 2 3'
loop_
_atom_site_label
_atom_site_type_symbol
_atom_site_fract_x
_atom_site_fract_y
_atom_site_fract_z
Hf1 Hf 0.0000 0.0000 0.0000
Sc1 Sc 0.0000 0.0000 0.5000
Sc2 Sc 0.2500 0.2500 0.7500
Ag1 Ag 0.2500 0.2500 0.2500
# * ΔE_f: 0.16 eV/atom
# * theoretical density: 7.38 Mg/m³
# * total magnetic moment: 4.1 μB/cell

> theoretical density of number 2 (RbHoHgS3)?

5.45 Mg/m³